DFT (GGA-PBE) results for crystalline Ce3PrH3 at its relaxed geometry.

Calculated values
Its total magnetization is 2.783 μB/cell. As for the space-group type: No. 223. The raw total energy comes out at -4.793 eV per atom.

a = 6.4701 Å, b = 6.4701 Å, c = 6.4701 Å
α = 90.00°, β = 90.00°, γ = 90.00°
Sites, in units of the cell vectors:
1 Ce 0.0000 0.2500 0.5000
2 Ce 0.0000 0.7500 0.5000
3 Ce 0.2500 0.5000 0.0000
4 Ce 0.5000 0.0000 0.2500
5 Ce 0.5000 0.0000 0.7500
6 Ce 0.7500 0.5000 0.0000
7 Pr 0.0000 0.0000 0.0000
8 Pr 0.5000 0.5000 0.5000
9 H 0.0000 0.5000 0.2500
10 H 0.0000 0.5000 0.7500
11 H 0.2500 0.0000 0.5000
12 H 0.5000 0.2500 0.0000
13 H 0.5000 0.7500 0.0000
14 H 0.7500 0.0000 0.5000